KTeOs2 | PBE-GGA | relaxed

Cell: 2.762 5.140 5.757 Å, 90.00 90.00 90.00°
Site moments in Bohr magnetons follow the coordinates.
Atoms (fractional coordinates):
K  0.000  0.500  0.500  0.00
Te  0.500  0.000  0.500  0.02
Os  0.500  0.500  0.000  0.51
Os  0.000  0.000  0.000  0.31

Magnetic moment (μB per atom): 0.229
SG: Pmmm, No. 47
Calculated total energy (eV/atom): -5.27
Crystal system: orthorhombic